# 1
The following is a DFT calculation (PBE-GGA) of an optimized crystal structure of KLiIrC2.

Summary:
VASP energy ... -2.829 eV per atom
DOS at the Fermi energy ... 4.3 states/eV/cell
E_form ... 3.23 eV per atom
Space-group type ... P4/mmm, No. 123

a b c (Å): 4.3247 3.8367 4.3247
angles (deg): 90.00 90.00 90.00
Sites, in units of the cell vectors:
K 0.0000 0.0000 0.0000
Ir 0.5000 0.5000 0.5000
C 0.0000 0.0000 0.5000
C 0.5000 0.0000 0.0000
Li 0.0000 0.5000 0.0000



# 2
The following is a DFT calculation (PBE-GGA) of an optimized crystal structure of KIr2CO.

Summary:
Formation energy (no corrections) ... 1.672 eV per atom
VASP energy ... -4.928 eV per atom
DOS at the Fermi energy ... 8.6 states/eV/cell
Space-group type ... P4/mmm, No. 123

a b c (Å): 4.0380 4.8932 4.0380
angles (deg): 90.00 90.00 90.00
Sites, in units of the cell vectors:
O 0.0000 0.0000 0.0000
Ir 0.5000 0.0000 0.0000
Ir 0.0000 0.0000 0.5000
C 0.0000 0.5000 0.0000
K 0.5000 0.5000 0.5000



# 3
The following is a DFT calculation (PBE-GGA) of an optimized crystal structure of K2IrOsC.

Summary:
VASP energy ... -4.541 eV per atom
DOS at the Fermi energy ... 11.0 states/eV/cell
E_form ... 1.76 eV per atom
Space-group type ... P4/mmm, No. 123

a b c (Å): 6.4509 3.7579 6.4509
angles (deg): 90.00 90.00 90.00
Each line ends with the local moment (μB).
Sites, in units of the cell vectors:
C 0.0000 0.5000 0.0000  -0.05
Ir 0.5000 0.5000 0.5000  1.73
K 0.5000 0.0000 0.0000  0.00
K 0.0000 0.0000 0.5000  0.00
Os 0.0000 0.0000 0.0000  1.15